(1)
Compound: Tb3Al12Ru4
Source: the Alexandria database
Functional: PBE-GGA
Structure: relaxed

The crystal system is hexagonal. The value obtained for the energy of formation from the pure elements is -12.70 eV/f.u. The value obtained for the raw total energy is -5.716 eV/atom. Its density of states at the Fermi level is 0.5916 states/eV/atom.

abc: 8.800 8.800 9.618
angles: 90.00 90.00 120.00
Atoms (fractional coordinates):
Tb: 0.387 0.193 0.250
Tb: 0.807 0.193 0.250
Tb: 0.807 0.613 0.250
Tb: 0.613 0.807 0.750
Tb: 0.193 0.807 0.750
Tb: 0.193 0.387 0.750
Al: 0.438 0.876 0.250
Al: 0.124 0.562 0.250
Al: 0.438 0.562 0.250
Al: 0.562 0.124 0.750
Al: 0.876 0.438 0.750
Al: 0.562 0.438 0.750
Al: 0.163 0.837 0.423
Al: 0.163 0.326 0.423
Al: 0.674 0.837 0.423
Al: 0.837 0.163 0.577
Al: 0.837 0.674 0.577
Al: 0.326 0.163 0.577
Al: 0.837 0.163 0.923
Al: 0.837 0.674 0.923
Al: 0.326 0.163 0.923
Al: 0.163 0.837 0.077
Al: 0.163 0.326 0.077
Al: 0.674 0.837 0.077
Al: 0.333 0.667 0.516
Al: 0.667 0.333 0.484
Al: 0.667 0.333 0.016
Al: 0.333 0.667 0.984
Al: 0.000 0.000 0.250
Al: 0.000 0.000 0.750
Ru: 0.000 0.000 0.500
Ru: 0.000 0.000 0.000
Ru: 0.500 0.000 0.500
Ru: 0.000 0.500 0.500
Ru: 0.500 0.500 0.500
Ru: 0.500 0.000 0.000
Ru: 0.000 0.500 0.000
Ru: 0.500 0.500 0.000



(2)
Compound: Tb3Al9Ru2
Source: the Alexandria database
Functional: PBE-GGA
Structure: relaxed

The crystal system is orthorhombic. The value obtained for the energy of formation from the pure elements is -8.00 eV/f.u. The value obtained for the raw total energy is -5.295 eV/atom. Its density of states at the Fermi level is 0.3970 states/eV/atom.

abc: 4.345 8.150 8.150
angles: 71.85 74.54 74.54
Atoms (fractional coordinates):
Tb: 0.000 0.000 0.000
Tb: 0.702 0.298 0.298
Tb: 0.298 0.702 0.702
Al: 0.000 0.500 0.500
Al: 0.649 0.991 0.711
Al: 0.351 0.009 0.289
Al: 0.649 0.711 0.991
Al: 0.351 0.289 0.009
Al: 0.874 0.843 0.410
Al: 0.126 0.157 0.590
Al: 0.874 0.410 0.843
Al: 0.126 0.590 0.157
Ru: 0.500 0.328 0.672
Ru: 0.500 0.672 0.328



(3)
Compound: Tb3AlRu3
Source: the Alexandria database
Functional: PBE-GGA
Structure: relaxed

The crystal system is orthorhombic. The value obtained for the energy of formation from the pure elements is -3.13 eV/f.u. The value obtained for the raw total energy is -6.941 eV/atom. Its density of states at the Fermi level is 0.6846 states/eV/atom.

abc: 4.137 5.642 13.467
angles: 90.00 90.00 111.51
Atoms (fractional coordinates):
Tb: 0.202 0.404 0.894
Tb: 0.798 0.596 0.106
Tb: 0.202 0.404 0.606
Tb: 0.798 0.596 0.394
Tb: 0.488 0.976 0.750
Tb: 0.512 0.024 0.250
Al: 0.500 0.000 0.000
Al: 0.500 0.000 0.500
Ru: 0.914 0.828 0.907
Ru: 0.086 0.172 0.093
Ru: 0.914 0.828 0.593
Ru: 0.086 0.172 0.407
Ru: 0.779 0.558 0.750
Ru: 0.221 0.442 0.250



(4)
Compound: Tb2Al3Ru
Source: the Alexandria database
Functional: PBE-GGA
Structure: relaxed

The crystal system is trigonal. The value obtained for the energy of formation from the pure elements is -3.36 eV/f.u. The value obtained for the raw total energy is -5.521 eV/atom. Its density of states at the Fermi level is 0.8288 states/eV/atom.

abc: 5.508 5.508 5.449
angles: 90.00 120.37 119.99
Atoms (fractional coordinates):
Tb: 0.747 0.373 0.120
Tb: 0.253 0.627 0.880
Al: 0.500 0.500 0.500
Al: 0.000 0.000 0.500
Al: 0.500 0.000 0.500
Ru: 0.000 0.000 0.000



(5)
Compound: Tb12AlRu6
Source: the Alexandria database
Functional: PBE-GGA
Structure: relaxed

The crystal system is cubic. The value obtained for the energy of formation from the pure elements is -4.94 eV/f.u. The value obtained for the raw total energy is -6.310 eV/atom. Its density of states at the Fermi level is 1.0230 states/eV/atom.

abc: 8.517 8.517 8.517
angles: 109.47 109.47 109.47
Atoms (fractional coordinates):
Tb: 0.294 0.100 0.805
Tb: 0.294 0.489 0.195
Tb: 0.706 0.511 0.805
Tb: 0.706 0.900 0.195
Tb: 0.100 0.805 0.294
Tb: 0.489 0.195 0.294
Tb: 0.511 0.805 0.706
Tb: 0.900 0.195 0.706
Tb: 0.805 0.294 0.100
Tb: 0.195 0.294 0.489
Tb: 0.805 0.706 0.511
Tb: 0.195 0.706 0.900
Al: 0.000 0.000 0.000
Ru: 0.376 0.500 0.876
Ru: 0.624 0.500 0.124
Ru: 0.500 0.876 0.376
Ru: 0.500 0.124 0.624
Ru: 0.876 0.376 0.500
Ru: 0.124 0.624 0.500



(6)
Compound: TbAlRu2
Source: the Alexandria database
Functional: PBE-GGA
Structure: relaxed

The crystal system is tetragonal. The value obtained for the energy of formation from the pure elements is -1.35 eV/f.u. The value obtained for the raw total energy is -7.068 eV/atom. Its density of states at the Fermi level is 1.5187 states/eV/atom.

abc: 3.328 4.485 4.485
angles: 90.00 90.00 90.00
Atoms (fractional coordinates):
Ru: 0.000 0.000 0.500
Ru: 0.000 0.500 0.000
Tb: 0.500 0.500 0.500
Al: 0.500 0.000 0.000



(7)
Compound: Tb2UAl2Ru5
Source: the Alexandria database
Functional: PBE-GGA
Structure: relaxed

The crystal system is tetragonal. The value obtained for the energy of formation from the pure elements is -5.25 eV/f.u. The value obtained for the raw total energy is -7.966 eV/atom. Its density of states at the Fermi level is 0.4942 states/eV/atom.

abc: 3.391 10.161 10.161
angles: 90.00 90.00 90.00
Atoms (fractional coordinates):
Tb: 0.000 0.669 0.169
Tb: 0.000 0.331 0.831
Tb: 0.000 0.169 0.331
Tb: 0.000 0.831 0.669
U: 0.000 0.000 0.000
U: 0.000 0.500 0.500
Al: 0.000 0.127 0.627
Al: 0.000 0.873 0.373
Al: 0.000 0.627 0.873
Al: 0.000 0.373 0.127
Ru: 0.500 0.199 0.068
Ru: 0.500 0.801 0.932
Ru: 0.500 0.068 0.801
Ru: 0.500 0.699 0.432
Ru: 0.500 0.932 0.199
Ru: 0.500 0.301 0.568
Ru: 0.500 0.568 0.699
Ru: 0.500 0.432 0.301
Ru: 0.500 0.500 0.000
Ru: 0.500 0.000 0.500



(8)
Compound: Tb2U2AlRu5
Source: the Alexandria database
Functional: PBE-GGA
Structure: relaxed

The crystal system is tetragonal. The value obtained for the energy of formation from the pure elements is -2.20 eV/f.u. The value obtained for the raw total energy is -8.416 eV/atom. Its density of states at the Fermi level is 0.8317 states/eV/atom.

abc: 3.259 10.727 10.727
angles: 90.00 90.00 90.00
Atoms (fractional coordinates):
Tb: 0.000 0.660 0.160
Tb: 0.000 0.340 0.840
Tb: 0.000 0.160 0.340
Tb: 0.000 0.840 0.660
U: 0.000 0.154 0.654
U: 0.000 0.846 0.346
U: 0.000 0.654 0.846
U: 0.000 0.346 0.154
Al: 0.000 0.000 0.000
Al: 0.000 0.500 0.500
Ru: 0.500 0.191 0.060
Ru: 0.500 0.809 0.940
Ru: 0.500 0.060 0.809
Ru: 0.500 0.691 0.440
Ru: 0.500 0.940 0.191
Ru: 0.500 0.309 0.560
Ru: 0.500 0.560 0.691
Ru: 0.500 0.440 0.309
Ru: 0.500 0.500 0.000
Ru: 0.500 0.000 0.500



(9)
Compound: Tb2Al2VRu5
Source: the Alexandria database
Functional: PBE-GGA
Structure: relaxed

The crystal system is tetragonal. The value obtained for the energy of formation from the pure elements is -3.77 eV/f.u. The value obtained for the raw total energy is -7.601 eV/atom. Its density of states at the Fermi level is 0.9007 states/eV/atom.

abc: 3.238 10.089 10.089
angles: 90.00 90.00 90.00
Atoms (fractional coordinates):
Tb: 0.000 0.671 0.171
Tb: 0.000 0.329 0.829
Tb: 0.000 0.171 0.329
Tb: 0.000 0.829 0.671
Al: 0.000 0.129 0.629
Al: 0.000 0.871 0.371
Al: 0.000 0.629 0.871
Al: 0.000 0.371 0.129
V: 0.000 0.000 0.000
V: 0.000 0.500 0.500
Ru: 0.500 0.193 0.063
Ru: 0.500 0.807 0.937
Ru: 0.500 0.063 0.807
Ru: 0.500 0.693 0.437
Ru: 0.500 0.937 0.193
Ru: 0.500 0.307 0.563
Ru: 0.500 0.563 0.693
Ru: 0.500 0.437 0.307
Ru: 0.500 0.500 0.000
Ru: 0.500 0.000 0.500



(10)
Compound: Tb2AlV2Ru5
Source: the Alexandria database
Functional: PBE-GGA
Structure: relaxed

The crystal system is tetragonal. The value obtained for the energy of formation from the pure elements is -2.60 eV/f.u. The value obtained for the raw total energy is -8.022 eV/atom. Its density of states at the Fermi level is 0.6573 states/eV/atom.

abc: 3.179 10.254 10.254
angles: 90.00 90.00 90.00
Atoms (fractional coordinates):
Tb: 0.000 0.673 0.173
Tb: 0.000 0.327 0.827
Tb: 0.000 0.173 0.327
Tb: 0.000 0.827 0.673
Al: 0.000 0.000 0.000
Al: 0.000 0.500 0.500
V: 0.000 0.130 0.630
V: 0.000 0.870 0.370
V: 0.000 0.630 0.870
V: 0.000 0.370 0.130
Ru: 0.500 0.201 0.065
Ru: 0.500 0.799 0.935
Ru: 0.500 0.065 0.799
Ru: 0.500 0.701 0.435
Ru: 0.500 0.935 0.201
Ru: 0.500 0.299 0.565
Ru: 0.500 0.565 0.701
Ru: 0.500 0.435 0.299
Ru: 0.500 0.500 0.000
Ru: 0.500 0.000 0.500



(11)
Compound: TbZrAlRu
Source: the Alexandria database
Functional: PBE-GGA
Structure: relaxed

The crystal system is cubic. The value obtained for the energy of formation from the pure elements is -1.28 eV/f.u. The value obtained for the raw total energy is -6.869 eV/atom. Its density of states at the Fermi level is 0.6073 states/eV/atom.

abc: 4.845 4.845 4.845
angles: 60.00 60.00 60.00
Atoms (fractional coordinates):
Ru: 0.750 0.750 0.750
Tb: 0.500 0.500 0.500
Al: 0.250 0.250 0.250
Zr: 0.000 0.000 0.000



(12)
Compound: Al2TcRu2
Source: the Alexandria database
Functional: PBE-GGA
Structure: relaxed

The crystal system is tetragonal. The value obtained for the energy above the most stable polymorph in this dataset is 0.00 kJ per mole of atoms. The value obtained for the energy of formation from the pure elements is -0.37 eV/f.u. The value obtained for the raw total energy is -7.354 eV/atom. Its density of states at the Fermi level is 1.2564 states/eV/atom.

abc: 7.030 7.030 2.945
angles: 90.00 90.00 90.00
Atoms (fractional coordinates):
Ru: 0.364 0.864 0.000
Ru: 0.864 0.636 0.000
Ru: 0.636 0.136 0.000
Ru: 0.136 0.364 0.000
Tc: 0.000 0.000 0.000
Tc: 0.500 0.500 0.000
Al: 0.162 0.662 0.500
Al: 0.662 0.838 0.500
Al: 0.838 0.338 0.500
Al: 0.338 0.162 0.500



(13)
Compound: Al5TcRu6
Source: the Alexandria database
Functional: PBE-GGA
Structure: relaxed

The crystal system is orthorhombic. The value obtained for the energy of formation from the pure elements is -6.47 eV/f.u. The value obtained for the raw total energy is -7.600 eV/atom. Its density of states at the Fermi level is 0.6764 states/eV/atom.

abc: 4.262 6.056 7.380
angles: 114.22 106.78 90.00
Atoms (fractional coordinates):
Ru: 0.834 0.582 0.667
Ru: 0.834 0.085 0.667
Ru: 0.500 0.746 0.000
Ru: 0.500 0.254 0.000
Ru: 0.166 0.915 0.333
Ru: 0.166 0.418 0.333
Al: 0.665 0.165 0.330
Al: 0.332 0.332 0.663
Al: 0.000 0.500 0.000
Al: 0.668 0.668 0.337
Al: 0.335 0.835 0.670
Tc: 0.000 0.000 0.000



(14)
Compound: Al2TcRu
Source: the Alexandria database
Functional: PBE-GGA
Structure: relaxed

The crystal system is orthorhombic. The value obtained for the energy above the most stable polymorph in this dataset is 18.11 kJ per mole of atoms. The value obtained for the energy of formation from the pure elements is -1.10 eV/f.u. The value obtained for the raw total energy is -7.056 eV/atom. Its density of states at the Fermi level is 0.7108 states/eV/atom.

abc: 2.769 2.769 8.165
angles: 90.00 90.00 113.51
Atoms (fractional coordinates):
Ru: 0.500 0.500 0.250
Tc: 0.500 0.500 0.750
Al: 0.000 0.000 0.005
Al: 0.000 0.000 0.495



(15)
Compound: Al4TcRu5
Source: the Alexandria database
Functional: PBE-GGA
Structure: relaxed

The crystal system is tetragonal. The value obtained for the energy of formation from the pure elements is -5.13 eV/f.u. The value obtained for the raw total energy is -7.685 eV/atom. Its density of states at the Fermi level is 0.8783 states/eV/atom.

abc: 2.971 2.971 15.513
angles: 90.00 90.00 90.00
Atoms (fractional coordinates):
Al: 0.000 0.000 0.209
Al: 0.000 0.000 0.402
Al: 0.000 0.000 0.598
Al: 0.000 0.000 0.791
Tc: 0.000 0.000 0.000
Ru: 0.500 0.500 0.107
Ru: 0.500 0.500 0.304
Ru: 0.500 0.500 0.500
Ru: 0.500 0.500 0.696
Ru: 0.500 0.500 0.893



(16)
Compound: Al2TcRu
Source: the Alexandria database
Functional: PBE-GGA
Structure: relaxed

The crystal system is monoclinic. The value obtained for the energy above the most stable polymorph in this dataset is 18.29 kJ per mole of atoms. The value obtained for the energy of formation from the pure elements is -1.09 eV/f.u. The value obtained for the raw total energy is -7.054 eV/atom. Its density of states at the Fermi level is 0.7713 states/eV/atom.

abc: 5.133 4.915 2.778
angles: 76.94 83.77 119.44
Atoms (fractional coordinates):
Ru: 0.000 0.500 0.500
Tc: 0.500 0.500 0.000
Al: 0.000 0.000 0.000
Al: 0.500 0.000 0.500



(17)
Compound: Al2TcRu
Source: the Alexandria database
Functional: PBE-GGA
Structure: relaxed

The crystal system is monoclinic. The value obtained for the energy above the most stable polymorph in this dataset is 18.01 kJ per mole of atoms. The value obtained for the energy of formation from the pure elements is -1.10 eV/f.u. The value obtained for the raw total energy is -7.057 eV/atom. Its density of states at the Fermi level is 0.7072 states/eV/atom.

abc: 4.055 2.786 5.117
angles: 83.90 90.00 90.00
Atoms (fractional coordinates):
Ru: 0.500 0.250 0.250
Tc: 0.500 0.750 0.750
Al: 0.000 0.017 0.003
Al: 0.000 0.483 0.497



(18)
Compound: Al2TcRu
Source: the Alexandria database
Functional: PBE-GGA
Structure: relaxed

The crystal system is tetragonal. The value obtained for the energy above the most stable polymorph in this dataset is 0.00 kJ per mole of atoms. The value obtained for the energy of formation from the pure elements is -1.85 eV/f.u. The value obtained for the raw total energy is -7.244 eV/atom. Its density of states at the Fermi level is 1.0112 states/eV/atom.

abc: 4.322 4.322 2.973
angles: 90.00 90.00 90.00
Atoms (fractional coordinates):
Ru: 0.500 0.000 0.500
Tc: 0.000 0.500 0.500
Al: 0.000 0.000 0.000
Al: 0.500 0.500 0.000



(19)
Compound: Al2TcRu2
Source: the Alexandria database
Functional: PBE-GGA
Structure: relaxed

The crystal system is tetragonal. The value obtained for the energy above the most stable polymorph in this dataset is 50.70 kJ per mole of atoms. The value obtained for the energy of formation from the pure elements is 2.26 eV/f.u. The value obtained for the raw total energy is -6.829 eV/atom. Its density of states at the Fermi level is 0.9627 states/eV/atom.

abc: 4.164 4.164 5.551
angles: 67.97 67.97 90.00
Site moments in Bohr magnetons follow the coordinates.
Atoms (fractional coordinates):
Ru: 0.380 0.380 0.241  -0.07
Ru: 0.620 0.620 0.759  -0.07
Tc: 0.000 0.000 0.000  1.47
Al: 0.750 0.250 0.500  -0.01
Al: 0.250 0.750 0.500  -0.01



(20)
Compound: Al2TcRu
Source: the Alexandria database
Functional: PBE-GGA
Structure: relaxed

The crystal system is trigonal. The value obtained for the energy above the most stable polymorph in this dataset is 25.95 kJ per mole of atoms. The value obtained for the energy of formation from the pure elements is -0.77 eV/f.u. The value obtained for the raw total energy is -6.975 eV/atom. Its density of states at the Fermi level is 1.1843 states/eV/atom.

abc: 8.740 8.740 8.740
angles: 18.63 18.63 18.63
Atoms (fractional coordinates):
Ru: 0.499 0.499 0.499
Tc: 0.753 0.753 0.753
Al: 0.003 0.003 0.003
Al: 0.246 0.246 0.246